1.
The following is a DFT calculation (GGA-PBE) of a relaxed structure of Be2CdTc2.

a b c (Å): 6.2727 6.2727 3.2125
angles (deg): 90.00 90.00 90.00
Fractional positions:
1 Be 0.3825 0.8825 0.0000
2 Be 0.8825 0.6175 0.0000
3 Be 0.6175 0.1175 0.0000
4 Be 0.1175 0.3825 0.0000
5 Tc 0.1678 0.6678 0.5000
6 Tc 0.6678 0.8322 0.5000
7 Tc 0.8322 0.3322 0.5000
8 Tc 0.3322 0.1678 0.5000
9 Cd 0.0000 0.0000 0.0000
10 Cd 0.5000 0.5000 0.0000

Values from the calculation:
Its symmetry is No. 127. The calculated formation energy comes out at 0.08 eV/atom. For the total energy, the calculation gives -5.74 eV/atom. The crystal system is tetragonal. For the offset from the most stable computed form, the calculation gives 0 meV/atom. The value obtained for the total magnetization is 0.0 μB/f.u.

2.
The following is a DFT calculation (GGA-PBE) of a relaxed structure of BeCdTc2.

a b c (Å): 2.7300 2.7300 8.7957
angles (deg): 90.00 90.00 114.51
Fractional positions:
1 Be 0.0000 0.0000 0.4775
2 Tc 0.0000 0.0000 0.0240
3 Tc 0.5000 0.5000 0.2659
4 Cd 0.5000 0.5000 0.7327

Values from the calculation:
Its symmetry is No. 35. The calculated formation energy comes out at 0.33 eV/atom. For the total energy, the calculation gives -6.01 eV/atom. The crystal system is orthorhombic. For the offset from the most stable computed form, the calculation gives 268 meV/atom. The value obtained for the total magnetization is 0.0 μB/f.u.

3.
The following is a DFT calculation (GGA-PBE) of a relaxed structure of BeCdTc2.

a b c (Å): 4.9213 4.9213 4.9213
angles (deg): 143.03 126.45 66.85
Fractional positions:
1 Be 0.5076 0.5076 0.0000
2 Tc 0.9920 0.9920 0.0000
3 Tc 0.7269 0.2269 0.5000
4 Cd 0.2734 0.7734 0.5000

Values from the calculation:
Its symmetry is No. 44. The calculated formation energy comes out at 0.36 eV/atom. For the total energy, the calculation gives -5.99 eV/atom. The crystal system is orthorhombic. For the offset from the most stable computed form, the calculation gives 290 meV/atom. The value obtained for the total magnetization is 0.0 μB/f.u.

Copy entry 1 word for word.
The following is a DFT calculation (GGA-PBE) of a relaxed structure of Be2CdTc2.

a b c (Å): 6.2727 6.2727 3.2125
angles (deg): 90.00 90.00 90.00
Fractional positions:
1 Be 0.3825 0.8825 0.0000
2 Be 0.8825 0.6175 0.0000
3 Be 0.6175 0.1175 0.0000
4 Be 0.1175 0.3825 0.0000
5 Tc 0.1678 0.6678 0.5000
6 Tc 0.6678 0.8322 0.5000
7 Tc 0.8322 0.3322 0.5000
8 Tc 0.3322 0.1678 0.5000
9 Cd 0.0000 0.0000 0.0000
10 Cd 0.5000 0.5000 0.0000

Values from the calculation:
Its symmetry is No. 127. The calculated formation energy comes out at 0.08 eV/atom. For the total energy, the calculation gives -5.74 eV/atom. The crystal system is tetragonal. For the offset from the most stable computed form, the calculation gives 0 meV/atom. The value obtained for the total magnetization is 0.0 μB/f.u.

What did the third record say?
The following is a DFT calculation (GGA-PBE) of a relaxed structure of BeCdTc2.

a b c (Å): 4.9213 4.9213 4.9213
angles (deg): 143.03 126.45 66.85
Fractional positions:
1 Be 0.5076 0.5076 0.0000
2 Tc 0.9920 0.9920 0.0000
3 Tc 0.7269 0.2269 0.5000
4 Cd 0.2734 0.7734 0.5000

Values from the calculation:
Its symmetry is No. 44. The calculated formation energy comes out at 0.36 eV/atom. For the total energy, the calculation gives -5.99 eV/atom. The crystal system is orthorhombic. For the offset from the most stable computed form, the calculation gives 290 meV/atom. The value obtained for the total magnetization is 0.0 μB/f.u.

Question: Among the records above, which one has the highest calculated formation energy?
Answer: number 3